[1]
AgPtIO2 after structural relaxation, computed with PBE.

Density of states at the Fermi level (states/eV per atom): 1.355
Formation energy without anion corrections (meV per atom): 678.5
Excess energy over the best structure of this formula in the dataset (meV per atom): 680
Space-group type: No. 123
Theoretical density (g cm⁻³): 6.52

Lattice parameters (Å, degrees): 3.918 3.918 7.660 90.00 90.00 90.00
Element x y z (fractional)
Ag1 0.000 0.000 0.000
Pt1 0.500 0.500 0.500
I1 0.000 0.000 0.500
O1 0.000 0.500 0.000
O2 0.500 0.000 0.000

[2]
PuAgI2O8 after structural relaxation, computed with PBE.

Density of states at the Fermi level (states/eV per atom): 0.502
Formation energy without anion corrections (meV per atom): -829.6
Space-group type: No. 164
Theoretical density (g cm⁻³): 5.31

Lattice parameters (Å, degrees): 6.461 6.461 6.351 90.00 90.00 120.00
Element x y z (fractional)
Pu1 0.000 0.000 0.000
Ag1 0.000 0.000 0.500
I1 0.333 0.667 0.776
I2 0.667 0.333 0.224
O1 0.153 0.306 0.795
O2 0.153 0.847 0.795
O3 0.306 0.153 0.205
O4 0.333 0.667 0.496
O5 0.667 0.333 0.504
O6 0.694 0.847 0.795
O7 0.847 0.153 0.205
O8 0.847 0.694 0.205

[3]
Pu2Ag2I2O5 after structural relaxation, computed with PBE.

Density of states at the Fermi level (states/eV per atom): 0.747
Formation energy without anion corrections (meV per atom): -1697.8
Space-group type: No. 139
Theoretical density (g cm⁻³): 6.96

Lattice parameters (Å, degrees): 14.581 14.581 14.581 163.58 163.58 23.30
Element x y z (fractional)
Pu1 0.072 0.072 0.000
Pu2 0.928 0.928 0.000
Ag1 0.346 0.346 0.000
Ag2 0.654 0.654 0.000
I1 0.186 0.186 0.000
I2 0.814 0.814 0.000
O1 0.000 0.000 0.000
O2 0.079 0.579 0.500
O3 0.421 0.921 0.500
O4 0.579 0.079 0.500
O5 0.921 0.421 0.500